Entry from Alexandria: a geometry-optimized WBrF3 structure (PBE+U).

Cell lengths 4.5510, 4.5510, 4.5510 Å; angles 90.00, 90.00, 90.00 degrees
Closest atoms and distances in Å follow each position.
Sites, in units of the cell vectors:
W 0.0000 0.0000 0.0000  12 F 3.22
Br 0.5000 0.5000 0.5000  6 F 2.28
F 0.0000 0.5000 0.5000  2 Br 2.28
F 0.5000 0.0000 0.5000  2 Br 2.28
F 0.5000 0.5000 0.0000  2 Br 2.28

Values from the calculation:
* energy relative to the lowest polymorph listed for this composition: 1899 meV/atom
* symmetry: Pm-3m (221)
* magnetic moment: 4.69 μB/cell
* final energy: -2.6732 eV per atom
* mass density: 5.7 g/cm3